1.
A geometry-optimized ZnCdRu structure, computed with GGA-PBEsol.

Summary:
- space-group type = P3m1 (156)
- magnetization (μB/atom) = 0.0005
- formation energy (eV/atom) = 0.259

Cell lengths 4.389, 4.389, 2.734 Å; angles 90.00, 90.00, 120.00 degrees
Element x y z (fractional)
Zn1 0.000 0.000 0.000
Cd1 0.333 0.667 0.208
Ru1 0.667 0.333 0.666

2.
A geometry-optimized ZnAgAu2 structure, computed with GGA-PBEsol.

Summary:
- space-group type = I-4m2 (119)
- magnetization (μB/atom) = 0.0000
- formation energy (eV/atom) = -0.130

Cell lengths 4.000, 4.000, 8.032 Å; angles 90.00, 90.00, 90.00 degrees
Element x y z (fractional)
Zn1 0.000 0.000 0.000
Zn2 0.500 0.500 0.500
Ag1 0.000 0.500 0.250
Ag2 0.500 0.000 0.750
Au1 0.000 0.000 0.500
Au2 0.000 0.500 0.750
Au3 0.500 0.000 0.250
Au4 0.500 0.500 0.000

3.
A geometry-optimized YTiPPt2 structure, computed with GGA-PBEsol.

Summary:
- space-group type = P4/mmm (123)
- magnetization (μB/atom) = 0.2589
- formation energy (eV/atom) = -0.097

Cell lengths 4.479, 4.479, 4.924 Å; angles 90.00, 90.00, 90.00 degrees
Element x y z (fractional)
Y1 0.000 0.000 0.000
Ti1 0.500 0.500 0.000
P1 0.000 0.000 0.500
Pt1 0.000 0.500 0.500
Pt2 0.500 0.000 0.500

4.
A geometry-optimized CaCrO3 structure, computed with GGA-PBEsol.

Summary:
- space-group type = Pnma (62)
- magnetization (μB/atom) = 0.4007
- formation energy without anion corrections (eV per atom) = -2.443

Cell lengths 5.306, 7.415, 5.234 Å; angles 90.00, 90.00, 90.00 degrees
Element x y z (fractional)
Ca1 0.041 0.250 0.008
Ca2 0.459 0.750 0.508
Ca3 0.541 0.250 0.492
Ca4 0.959 0.750 0.992
Cr1 0.000 0.000 0.500
Cr2 0.000 0.500 0.500
Cr3 0.500 0.000 0.000
Cr4 0.500 0.500 0.000
O1 0.013 0.750 0.429
O2 0.211 0.537 0.790
O3 0.211 0.963 0.790
O4 0.289 0.037 0.290
O5 0.289 0.463 0.290
O6 0.487 0.250 0.929
O7 0.513 0.750 0.071
O8 0.711 0.537 0.710
O9 0.711 0.963 0.710
O10 0.789 0.037 0.210
O11 0.789 0.463 0.210
O12 0.987 0.250 0.571

5.
A geometry-optimized MgRhIO2 structure, computed with GGA-PBEsol.

Summary:
- space-group type = P4/mmm (123)
- magnetization (μB/atom) = 0.6017
- formation energy without anion corrections (eV per atom) = -0.088

Cell lengths 3.839, 3.839, 5.920 Å; angles 90.00, 90.00, 90.00 degrees
Element x y z (fractional)
Mg1 0.000 0.000 0.000
Rh1 0.500 0.500 0.500
I1 0.000 0.000 0.500
O1 0.000 0.500 0.000
O2 0.500 0.000 0.000

6.
A geometry-optimized Hf2Zn structure, computed with GGA-PBEsol.

Summary:
- space-group type = I4/mmm (139)
- magnetization (μB/atom) = 0.0001
- formation energy (eV/atom) = -0.180

Cell lengths 3.190, 3.190, 11.185 Å; angles 90.00, 90.00, 90.00 degrees
Element x y z (fractional)
Hf1 0.000 0.000 0.159
Hf2 0.000 0.000 0.841
Hf3 0.500 0.500 0.341
Hf4 0.500 0.500 0.659
Zn1 0.000 0.000 0.500
Zn2 0.500 0.500 0.000

7.
A geometry-optimized Zr5As3 structure, computed with GGA-PBEsol.

Summary:
- space-group type = P6_3/mcm (193)
- magnetization (μB/atom) = 0.0002
- formation energy (eV/atom) = -1.039

Cell lengths 7.956, 7.956, 5.521 Å; angles 90.00, 90.00, 120.00 degrees
Element x y z (fractional)
Zr1 0.000 0.257 0.250
Zr2 0.000 0.743 0.750
Zr3 0.257 0.000 0.250
Zr4 0.257 0.257 0.750
Zr5 0.333 0.667 0.000
Zr6 0.333 0.667 0.500
Zr7 0.667 0.333 0.000
Zr8 0.667 0.333 0.500
Zr9 0.743 0.000 0.750
Zr10 0.743 0.743 0.250
As1 0.000 0.385 0.750
As2 0.000 0.615 0.250
As3 0.385 0.000 0.750
As4 0.385 0.385 0.250
As5 0.615 0.000 0.250
As6 0.615 0.615 0.750

8.
A geometry-optimized K4GeP4S12 structure, computed with GGA-PBEsol.

Summary:
- space-group type = C2/c (15)
- magnetization (μB/atom) = 0.0000
- formation energy without anion corrections (eV per atom) = -0.668

Cell lengths 7.173, 7.173, 23.109 Å; angles 98.21, 98.21, 66.60 degrees
Element x y z (fractional)
K1 0.010 0.182 0.183
K2 0.182 0.010 0.683
K3 0.291 0.334 0.455
K4 0.334 0.291 0.955
K5 0.666 0.709 0.045
K6 0.709 0.666 0.545
K7 0.818 0.990 0.317
K8 0.990 0.818 0.817
Ge1 0.459 0.541 0.250
Ge2 0.541 0.459 0.750
P1 0.193 0.614 0.125
P2 0.287 0.417 0.616
P3 0.386 0.807 0.375
P4 0.417 0.287 0.116
P5 0.583 0.713 0.884
P6 0.614 0.193 0.625
P7 0.713 0.583 0.384
P8 0.807 0.386 0.875
S1 0.035 0.353 0.828
S2 0.114 0.268 0.578
S3 0.131 0.713 0.047
S4 0.230 0.482 0.708
S5 0.256 0.608 0.321
S6 0.266 0.658 0.579
S7 0.268 0.114 0.078
S8 0.287 0.869 0.453
S9 0.342 0.734 0.921
S10 0.353 0.035 0.328
S11 0.392 0.744 0.179
S12 0.482 0.230 0.208
S13 0.518 0.770 0.792
S14 0.608 0.256 0.821
S15 0.647 0.965 0.672
S16 0.658 0.266 0.079
S17 0.713 0.131 0.547
S18 0.732 0.886 0.922
S19 0.734 0.342 0.421
S20 0.744 0.392 0.679
S21 0.770 0.518 0.292
S22 0.869 0.287 0.953
S23 0.886 0.732 0.422
S24 0.965 0.647 0.172

9.
A geometry-optimized YBe3Se structure, computed with GGA-PBEsol.

Summary:
- space-group type = Pm-3m (221)
- magnetization (μB/atom) = 0.0017
- formation energy without anion corrections (eV per atom) = 1.936

Cell lengths 4.958, 4.958, 4.958 Å; angles 90.00, 90.00, 90.00 degrees
Element x y z (fractional)
Y1 0.000 0.000 0.000
Be1 0.000 0.000 0.500
Be2 0.000 0.500 0.000
Be3 0.500 0.000 0.000
Se1 0.500 0.500 0.500

10.
A geometry-optimized LiMg3 structure, computed with GGA-PBEsol.

Summary:
- space-group type = P6_3cm (185)
- magnetization (μB/atom) = 0.0000
- formation energy (eV/atom) = 0.015

Cell lengths 8.209, 8.209, 8.846 Å; angles 90.00, 90.00, 120.00 degrees
Element x y z (fractional)
Li1 0.000 0.333 0.000
Li2 0.000 0.667 0.500
Li3 0.333 0.000 0.000
Li4 0.333 0.333 0.500
Li5 0.667 0.000 0.500
Li6 0.667 0.667 0.000
Mg1 0.000 0.000 0.087
Mg2 0.000 0.000 0.587
Mg3 0.000 0.274 0.329
Mg4 0.000 0.372 0.664
Mg5 0.000 0.628 0.164
Mg6 0.000 0.726 0.829
Mg7 0.274 0.000 0.329
Mg8 0.274 0.274 0.829
Mg9 0.333 0.667 0.394
Mg10 0.333 0.667 0.894
Mg11 0.372 0.000 0.664
Mg12 0.372 0.372 0.164
Mg13 0.628 0.000 0.164
Mg14 0.628 0.628 0.664
Mg15 0.667 0.333 0.394
Mg16 0.667 0.333 0.894
Mg17 0.726 0.000 0.829
Mg18 0.726 0.726 0.329

11.
A geometry-optimized Ta2InNi structure, computed with GGA-PBEsol.

Summary:
- space-group type = R3m (160)
- magnetization (μB/atom) = 0.0006
- formation energy (eV/atom) = 0.172

Cell lengths 2.940, 2.940, 27.127 Å; angles 90.00, 90.00, 120.00 degrees
Element x y z (fractional)
Ta1 0.000 0.000 0.000
Ta2 0.000 0.000 0.243
Ta3 0.333 0.667 0.667
Ta4 0.333 0.667 0.910
Ta5 0.667 0.333 0.333
Ta6 0.667 0.333 0.576
In1 0.000 0.000 0.483
In2 0.333 0.667 0.150
In3 0.667 0.333 0.816
Ni1 0.000 0.000 0.739
Ni2 0.333 0.667 0.405
Ni3 0.667 0.333 0.072

12.
A geometry-optimized ReBiOF2 structure, computed with GGA-PBEsol.

Summary:
- space-group type = P4/mmm (123)
- distance to the lowest polymorph of the same formula (eV/atom) = 0.719
- magnetization (μB/atom) = 1.1960
- formation energy without anion corrections (eV per atom) = 0.010

Cell lengths 4.576, 4.576, 4.490 Å; angles 90.00, 90.00, 90.00 degrees
Element x y z (fractional)
Re1 0.000 0.000 0.000
Bi1 0.500 0.500 0.500
O1 0.500 0.500 0.000
F1 0.000 0.500 0.500
F2 0.500 0.000 0.500

13.
A geometry-optimized GdSi2Rh3 structure, computed with GGA-PBEsol.

Summary:
- space-group type = P6/mmm (191)
- magnetization (μB/atom) = 1.1670
- formation energy without anion corrections (eV per atom) = -1.061

Cell lengths 5.453, 5.453, 3.653 Å; angles 90.00, 90.00, 120.00 degrees
Element x y z (fractional)
Gd1 0.000 0.000 0.000
Si1 0.333 0.667 0.000
Si2 0.667 0.333 0.000
Rh1 0.000 0.500 0.500
Rh2 0.500 0.000 0.500
Rh3 0.500 0.500 0.500

14.
A geometry-optimized BaOs3Cl structure, computed with GGA-PBEsol.

Summary:
- space-group type = Pm-3m (221)
- magnetization (μB/atom) = 1.3699
- formation energy without anion corrections (eV per atom) = 3.971

Cell lengths 5.136, 5.136, 5.136 Å; angles 90.00, 90.00, 90.00 degrees
Element x y z (fractional)
Ba1 0.000 0.000 0.000
Os1 0.000 0.000 0.500
Os2 0.000 0.500 0.000
Os3 0.500 0.000 0.000
Cl1 0.500 0.500 0.500

15.
A geometry-optimized HfZnH2 structure, computed with GGA-PBEsol.

Summary:
- total DFT energy (no corrections) (eV per cell) = -75.48
- space-group type = I-42d (122)
- magnetization (μB/atom) = 0.0000

Cell lengths 4.175, 4.175, 9.700 Å; angles 90.00, 90.00, 90.00 degrees
Element x y z (fractional)
Hf1 0.000 0.000 0.000
Hf2 0.000 0.500 0.250
Hf3 0.500 0.000 0.750
Hf4 0.500 0.500 0.500
Zn1 0.000 0.000 0.500
Zn2 0.000 0.500 0.750
Zn3 0.500 0.000 0.250
Zn4 0.500 0.500 0.000
H1 0.243 0.250 0.625
H2 0.250 0.743 0.875
H3 0.250 0.757 0.375
H4 0.257 0.250 0.125
H5 0.743 0.750 0.125
H6 0.750 0.243 0.375
H7 0.750 0.257 0.875
H8 0.757 0.750 0.625

16.
A geometry-optimized Mg4H2O5 structure, computed with GGA-PBEsol.

Summary:
- total DFT energy (no corrections) (eV per cell) = -64.82
- space-group type = P-3m1 (164)
- magnetization (μB/atom) = 0.0000

Cell lengths 3.029, 3.029, 11.897 Å; angles 90.00, 90.00, 120.00 degrees
Element x y z (fractional)
Mg1 0.000 0.000 0.194
Mg2 0.000 0.000 0.806
Mg3 0.333 0.667 0.398
Mg4 0.667 0.333 0.602
H1 0.333 0.667 0.022
H2 0.667 0.333 0.978
O1 0.000 0.000 0.500
O2 0.333 0.667 0.104
O3 0.333 0.667 0.704
O4 0.667 0.333 0.296
O5 0.667 0.333 0.896

17.
A geometry-optimized Al2FeH structure, computed with GGA-PBEsol.

Summary:
- total DFT energy (no corrections) (eV per cell) = -79.65
- space-group type = I-42d (122)
- magnetization (μB/atom) = 0.2484

Cell lengths 5.889, 5.889, 4.908 Å; angles 90.00, 90.00, 90.00 degrees
Element x y z (fractional)
Al1 0.174 0.250 0.125
Al2 0.250 0.674 0.375
Al3 0.250 0.826 0.875
Al4 0.326 0.250 0.625
Al5 0.674 0.750 0.625
Al6 0.750 0.174 0.875
Al7 0.750 0.326 0.375
Al8 0.826 0.750 0.125
Fe1 0.000 0.000 0.500
Fe2 0.000 0.500 0.750
Fe3 0.500 0.000 0.250
Fe4 0.500 0.500 0.000
H1 0.000 0.000 0.000
H2 0.000 0.500 0.250
H3 0.500 0.000 0.750
H4 0.500 0.500 0.500

18.
A geometry-optimized NbTeSe2 structure, computed with GGA-PBEsol.

Summary:
- space-group type = R-3m (166)
- magnetization (μB/atom) = 0.0001
- formation energy without anion corrections (eV per atom) = 0.446

Cell lengths 3.297, 3.297, 28.571 Å; angles 90.00, 90.00, 120.00 degrees
Element x y z (fractional)
Nb1 0.000 0.000 0.000
Nb2 0.333 0.667 0.667
Nb3 0.667 0.333 0.333
Te1 0.000 0.000 0.500
Te2 0.333 0.667 0.167
Te3 0.667 0.333 0.833
Se1 0.000 0.000 0.085
Se2 0.000 0.000 0.915
Se3 0.333 0.667 0.582
Se4 0.333 0.667 0.752
Se5 0.667 0.333 0.248
Se6 0.667 0.333 0.418

19.
A geometry-optimized LaH3Pt structure, computed with GGA-PBEsol.

Summary:
- total DFT energy (no corrections) (eV per cell) = -25.16
- space-group type = Pm-3m (221)
- magnetization (μB/atom) = 0.0000

Cell lengths 3.790, 3.790, 3.790 Å; angles 90.00, 90.00, 90.00 degrees
Element x y z (fractional)
La1 0.000 0.000 0.000
H1 0.000 0.500 0.500
H2 0.500 0.000 0.500
H3 0.500 0.500 0.000
Pt1 0.500 0.500 0.500

20.
A geometry-optimized Sc2Cd structure, computed with GGA-PBEsol.

Summary:
- space-group type = Cmcm (63)
- magnetization (μB/atom) = 0.0001
- formation energy (eV/atom) = -0.130

Cell lengths 3.459, 15.423, 5.002 Å; angles 90.00, 90.00, 90.00 degrees
Element x y z (fractional)
Sc1 0.000 0.061 0.250
Sc2 0.000 0.389 0.250
Sc3 0.000 0.611 0.750
Sc4 0.000 0.939 0.750
Sc5 0.500 0.111 0.750
Sc6 0.500 0.439 0.750
Sc7 0.500 0.561 0.250
Sc8 0.500 0.889 0.250
Cd1 0.000 0.275 0.750
Cd2 0.000 0.725 0.250
Cd3 0.500 0.225 0.250
Cd4 0.500 0.775 0.750

21.
A geometry-optimized OsSeSBr2 structure, computed with GGA-PBEsol.

Summary:
- space-group type = P4/mmm (123)
- magnetization (μB/atom) = 0.0750
- formation energy without anion corrections (eV per atom) = 0.799

Cell lengths 4.978, 4.978, 4.675 Å; angles 90.00, 90.00, 90.00 degrees
Element x y z (fractional)
Os1 0.000 0.000 0.000
Se1 0.000 0.000 0.500
S1 0.500 0.500 0.500
Br1 0.000 0.500 0.000
Br2 0.500 0.000 0.000

22.
A geometry-optimized Ba2TlSe structure, computed with GGA-PBEsol.

Summary:
- space-group type = Pmm2 (25)
- magnetization (μB/atom) = 0.0001
- formation energy without anion corrections (eV per atom) = -0.942

Cell lengths 5.060, 6.766, 4.518 Å; angles 90.00, 90.00, 90.00 degrees
Element x y z (fractional)
Ba1 0.000 0.000 0.000
Ba2 0.500 0.500 0.493
Tl1 0.000 0.500 0.992
Se1 0.500 0.000 0.501

23.
A geometry-optimized Al3CdS structure, computed with GGA-PBEsol.

Summary:
- space-group type = Pm-3m (221)
- magnetization (μB/atom) = 0.0000
- formation energy without anion corrections (eV per atom) = 0.661

Cell lengths 4.931, 4.931, 4.931 Å; angles 90.00, 90.00, 90.00 degrees
Element x y z (fractional)
Al1 0.000 0.000 0.500
Al2 0.000 0.500 0.000
Al3 0.500 0.000 0.000
Cd1 0.000 0.000 0.000
S1 0.500 0.500 0.500

24.
A geometry-optimized LaBeCr2Pt structure, computed with GGA-PBEsol.

Summary:
- space-group type = P4/mmm (123)
- magnetization (μB/atom) = 1.3774
- formation energy (eV/atom) = 0.241

Cell lengths 4.435, 4.435, 4.305 Å; angles 90.00, 90.00, 90.00 degrees
Element x y z (fractional)
La1 0.000 0.000 0.000
Be1 0.500 0.500 0.500
Cr1 0.000 0.500 0.500
Cr2 0.500 0.000 0.500
Pt1 0.500 0.500 0.000